Tl2Cd2Sn | GGA-PBE | optimized geometry

Calculated values
energy relative to the elements: 0.1408 eV per atom
total magnetic moment: 0.000 μB per formula unit
DFT total energy: -1.972 eV per atom
polymorph energy (0 for the lowest one): 0.46 eV/f.u.
ρ: 8.9 g/cm3

abc: 9.114 9.114 3.375
angles: 90.00 90.00 90.00
Element x y z (fractional)
Tl: 0.181 0.319 0.000
Tl: 0.319 0.819 0.000
Tl: 0.681 0.181 0.000
Tl: 0.819 0.681 0.000
Cd: 0.119 0.619 0.500
Cd: 0.381 0.119 0.500
Cd: 0.619 0.881 0.500
Cd: 0.881 0.381 0.500
Sn: 0.000 0.000 0.000
Sn: 0.500 0.500 0.000